# Ti2MnHN (PBE-GGA, relaxed)
# * M_tot: 0.74 μB/f.u.
# * Fermi-level density of states: 3.35 states/eV per cell
# * calculated total energy: -7.478 eV/atom
data_Ti2MnHN
_cell_length_a 4.140
_cell_length_b 4.140
_cell_length_c 3.532
_cell_angle_alpha 90.00
_cell_angle_beta 90.00
_cell_angle_gamma 90.00
_symmetry_space_group_name_H-M 'P 4/m m m'
_symmetry_Int_Tables_number 123
_symmetry_space_group_name_Hall '-P 4 2'
loop_
_atom_site_label
_atom_site_fract_x
_atom_site_fract_y
_atom_site_fract_z
Ti1 0.000 0.500 0.000
Mn1 0.000 0.000 0.500
H1 0.500 0.500 0.500
N1 0.000 0.000 0.000